Entry 1:
# BaScPtSe3

A relaxed BaScPtSe3 crystal (PBE, the Open Quantum Materials Database).

Calculated total energy = -5.465 eV per atom

Cell: 3.9591 14.5390 10.2159 Å, 90.00 90.00 90.00°
With the nearest neighbours (Å) after each atom.
Space group Cmcm (No. 63)
Asymmetric unit:
Ba  0.0000  0.2435  0.2500 x4  8 Se 3.29-3.52, 2 Pt 3.67
Sc  0.0000  0.0000  0.0000 x4  6 Se 2.77-2.81
Pt  0.0000  0.4692  0.7500 x4  4 Se 2.49-2.55
Se  0.0000  0.0736  0.7500 x4  2 Pt 2.49, 2 Sc 2.77
Se  0.0000  0.3672  0.5465 x8  1 Pt 2.55, 2 Sc 2.81

Entry 2:
# Ba2ScPtSe6

A relaxed Ba2ScPtSe6 crystal (PBE, the Open Quantum Materials Database).

E above lowest polymorph = 21 kJ/mol of formula units

Cell: 10.2533 10.2533 10.2533 Å, 90.00 90.00 90.00°
With the nearest neighbours (Å) after each atom.
Space group Fm-3m (No. 225)
Asymmetric unit:
Ba  0.2500  0.2500  0.2500 x8  12 Se 3.63
Sc  0.0000  0.0000  0.0000 x4  6 Se 2.63
Pt  0.0000  0.0000  0.5000 x4  6 Se 2.50
Se  0.0000  0.0000  0.2562 x24  1 Pt 2.50, 1 Sc 2.63

Entry 3:
# Ba2ScPtSe6

A relaxed Ba2ScPtSe6 crystal (PBE, the Open Quantum Materials Database).

E above lowest polymorph = 0 kJ/mol of formula units

Cell: 7.1691 7.1691 10.4603 Å, 90.00 90.00 90.00°
With the nearest neighbours (Å) after each atom.
Space group I4/m (No. 87)
Asymmetric unit:
Ba  0.0000  0.5000  0.2500 x4  8 Se 3.31-3.59
Sc  0.0000  0.0000  0.0000 x2  6 Se 2.64-2.70
Pt  0.0000  0.0000  0.5000 x2  6 Se 2.53
Se  0.0000  0.0000  0.2584 x4  1 Pt 2.53, 1 Sc 2.70
Se  0.1942  0.7057  0.5000 x8  1 Pt 2.53, 1 Sc 2.64